Compound: ReTe2F
Source: the Alexandria database
Functional: PBE
Structure: optimized geometry

a b c (Å): 9.8296 9.8296 9.8296
angles (deg): 17.79 17.79 17.79
Last column: nearest neighbours and their distance in Å.
Sites, in units of the cell vectors:
Re 0.0000 0.0000 0.0000  2 Te 2.68
Te 0.9076 0.9076 0.9076  1 Re 2.68, 3 F 2.78
Te 0.0924 0.0924 0.0924  1 Re 2.68, 3 F 2.78
F 0.5000 0.5000 0.5000  6 Te 2.78, 6 F 3.04

* relative energy among the computed polymorphs: 496 meV per atom
* M_tot: 0.00 μB per formula unit
* density of states at the Fermi level: 3.43 states/eV/f.u.
* formation energy from raw total energies: 0.261 eV/atom
* space-group type: No. 166